(1)
This record from the Alexandria database describes Dy3Ho4Cd2 after structural relaxation. The functional is GGA-PBE.

Results
* DFT total energy: -34.62 eV for the cell shown
* crystal system: monoclinic
* calculated volume: 259.5 Å³/f.u.
* E_form: -0.07 eV per atom
* space-group type: C2/m, No. 12
* DOS at the Fermi energy: 11.26 states/eV/cell

Lattice parameters (Å, degrees): 4.854 7.736 7.686 107.65 108.41 90.00
Fractional coordinates of all 9 atoms:
Dy1 0.886 0.328 0.772
Dy2 0.114 0.672 0.228
Dy3 0.000 0.000 0.000
Cd1 0.666 0.999 0.332
Cd2 0.334 0.001 0.668
Ho1 0.779 0.679 0.557
Ho2 0.556 0.334 0.112
Ho3 0.221 0.321 0.443
Ho4 0.444 0.666 0.888

(2)
This record from the Alexandria database describes AcIBr2 after structural relaxation. The functional is GGA-PBE.

Results
* DFT total energy: -15.01 eV for the cell shown
* crystal system: cubic
* calculated volume: 124.6 Å³/f.u.
* space-group type: Fm-3m, No. 225
* formation energy from raw total energies: -1.502 eV/atom
* ΔE to the lowest computed polymorph: 379 meV/atom
* DOS at the Fermi energy: 0.00 states/eV/cell

Lattice parameters (Å, degrees): 5.608 5.608 5.605 59.98 59.98 60.00
Fractional coordinates of all 4 atoms:
Br1 0.250 0.250 0.250
Br2 0.750 0.750 0.750
Ac1 0.000 0.000 0.000
I1 0.500 0.500 0.500

(3)
This record from the Alexandria database describes EuLu2Tl after structural relaxation. The functional is GGA-PBE.

Results
* DFT total energy: -21.84 eV for the cell shown
* crystal system: trigonal
* calculated volume: 122.7 Å³/f.u.
* E_form: -0.04 eV per atom
* space-group type: R-3m, No. 166
* ΔE to the lowest computed polymorph: 72 meV/atom
* DOS at the Fermi energy: 4.05 states/eV/cell

Lattice parameters (Å, degrees): 3.585 3.585 11.219 80.81 80.81 60.00
Site moments in Bohr magnetons follow the coordinates.
Fractional coordinates of all 4 atoms:
Lu1 0.258 0.258 0.226  -0.13
Lu2 0.742 0.742 0.774  -0.13
Eu1 0.500 0.500 0.500  -7.03
Tl1 0.000 0.000 0.000  -0.01

(4)
This record from the Alexandria database describes CdRuRh after structural relaxation. The functional is GGA-PBE.

Results
* DFT total energy: -16.88 eV for the cell shown
* crystal system: orthorhombic
* calculated volume: 49.0 Å³/f.u.
* E_form: 0.22 eV per atom
* space-group type: Imm2, No. 44
* ΔE to the lowest computed polymorph: 141 meV/atom
* DOS at the Fermi energy: 3.23 states/eV/cell

Lattice parameters (Å, degrees): 5.255 5.255 5.255 148.87 138.97 52.39
Fractional coordinates of all 3 atoms:
Ru1 0.688 0.688 0.000
Cd1 0.999 0.999 0.000
Rh1 0.312 0.312 0.000